# 1
VASP calculation (PBEsol) on a relaxed TiMn2GaAu crystal.

**DFT formation energy**: 867 meV/atom

a = 4.4499 Å, b = 4.4499 Å, c = 4.6533 Å
α = 90.00°, β = 90.00°, γ = 90.00°
Last column: nearest neighbours and their distance in Å.
Space group P4/mmm (No. 123)
Inequivalent atoms, fractional coordinates:
1 Ti 0.0000 0.0000 0.0000 (multiplicity 1)  2 Ga 2.33
2 Mn 0.0000 0.5000 0.5000 (multiplicity 2)  2 Ga 2.22
3 Ga 0.0000 0.0000 0.5000 (multiplicity 1)  4 Mn 2.22, 2 Ti 2.33
4 Au 0.5000 0.5000 0.0000 (multiplicity 1)  4 Ti 3.15, 8 Mn 3.22



# 2
VASP calculation (PBEsol) on a relaxed LiHgSe3 crystal.

**Raw total energy**: -0.1866 Ry per atom

a = 5.2263 Å, b = 5.2263 Å, c = 5.2263 Å
α = 90.00°, β = 90.00°, γ = 90.00°
Last column: nearest neighbours and their distance in Å.
Space group Pm-3m (No. 221)
Inequivalent atoms, fractional coordinates:
1 Li 0.0000 0.0000 0.0000 (multiplicity 1)  12 Se 3.70
2 Hg 0.5000 0.5000 0.5000 (multiplicity 1)  6 Se 2.61
3 Se 0.0000 0.5000 0.5000 (multiplicity 3)  2 Hg 2.61



# 3
VASP calculation (PBEsol) on a relaxed RbCrSN2 crystal.

**Raw total energy**: -0.4555 Ry per atom

a = 3.8783 Å, b = 3.8783 Å, c = 4.6651 Å
α = 90.00°, β = 90.00°, γ = 90.00°
Last column: nearest neighbours and their distance in Å.
Space group P4/mmm (No. 123)
Inequivalent atoms, fractional coordinates:
1 Rb 0.0000 0.0000 0.0000 (multiplicity 1)  4 S 2.74, 8 N 3.03
2 Cr 0.5000 0.5000 0.5000 (multiplicity 1)  4 N 1.94
3 S 0.5000 0.5000 0.0000 (multiplicity 1)  2 Cr 2.33
4 N 0.0000 0.5000 0.5000 (multiplicity 2)  2 Cr 1.94



# 4
VASP calculation (PBEsol) on a relaxed K2GePt crystal.

**DFT formation energy**: -137 meV/atom

a = 12.3198 Å, b = 12.3198 Å, c = 4.6394 Å
α = 90.00°, β = 90.00°, γ = 90.00°
Last column: nearest neighbours and their distance in Å.
Space group I-42d (No. 122)
Inequivalent atoms, fractional coordinates:
1 K 0.0334 0.7500 0.1250 (multiplicity 8)  2 Pt 3.16
2 Ge 0.0000 0.0000 0.5000 (multiplicity 4)  2 Pt 2.32
3 Pt 0.0000 0.0000 0.0000 (multiplicity 4)  2 Ge 2.32



Ordered size of the total moment results: 5.90 0.00 0.52 0.00; unit μB per formula unit.
Ordered calculated volume results: 92.1 142.8 70.2 704.2; unit Å³ per cell.